Material: Zr2RhW
Method: DFT, PBE
State: relaxed

Cell and atoms, written as POSCAR:
```
Zr2RhW
1.0
3.965 0.000 0.000
0.000 3.965 0.000
1.982 1.982 9.983
Rh Zr W
2 4 2
direct
0.500 0.500 0.000
0.250 0.750 0.500
0.875 0.876 0.750
0.124 0.625 0.250
0.375 0.374 0.750
0.626 0.125 0.250
0.750 0.250 0.500
0.000 0.000 0.000
```

Output
Energy relative to the lowest polymorph listed for this composition, meV/atom: 978.8
Space group: I-42d, No. 122
Energy of formation, eV/atom: 0.61
Raw total energy, eV/atom: -8.74

=====

Material: AcMgSbRu
Method: DFT, PBE
State: relaxed

Cell and atoms, written as POSCAR:
```
AcMgSbRu
1.0
5.044 0.000 0.000
2.522 4.368 0.000
2.522 1.456 4.118
Ru Ac Mg Sb
1 1 1 1
direct
0.750 0.750 0.750
0.500 0.500 0.500
0.250 0.250 0.250
0.000 0.000 0.000
```

Output
Space group: F-43m, No. 216
Formation energy from raw total energies, eV/atom: -0.092
Raw total energy, eV/atom: -4.87

=====

Total magnetic moment, respectively: 0.00, 0.00 Bohr magnetons per cell.